# 1
Tb3Sm | PBEsol | relaxed

Results
* polymorph energy (0 for the lowest one): 0.011 eV per atom
* space group: P6_3/mmc
* DFT formation energy: 20 meV per atom

The structure in extended XYZ format:
```
8
Lattice="-0.0944 -1.7779 5.3302 1.3734 -6.6139 -2.1817 5.3438 4.4034 1.5633" Properties=species:S:1:pos:R:3 pbc="T T T"
Tb 1.9641 -6.1118 2.4399
Tb 1.2771 -2.8035 3.5312
Tb 4.6371 -3.9092 3.2219
Tb 5.3457 -1.1849 1.1807
Tb 4.6587 2.1235 2.2720
Tb 1.9857 -0.0791 1.4900
Sm 3.9495 -0.6024 4.3126
Sm 2.6733 -3.3859 0.3992
```

---

# 2
CaTeCl2 | PBEsol | relaxed

Results
* uncorrected formation energy: -1.151 eV per atom
* polymorph energy (0 for the lowest one): 0.000 eV per atom
* space group: I-4m2

The structure in extended XYZ format:
```
4
Lattice="-2.0314 -3.5070 0.8439 2.8731 -2.1587 -2.0550 2.5553 2.2560 5.3724" Properties=species:S:1:pos:R:3 pbc="T T T"
Cl 0.0000 0.0000 0.0000
Cl 0.4724 -2.0419 2.8053
Te 0.4208 -2.8328 -0.6056
Ca 2.9246 -1.3678 1.3559
```

---

# 3
Cu2Ir3 | PBEsol | relaxed

Results
* space group: R-3m
* DFT formation energy: 92 meV per atom

The structure in extended XYZ format:
```
5
Lattice="-1.0799 1.4970 1.9350 -2.6359 0.4504 0.0284 -2.6656 -8.0780 6.6096" Properties=species:S:1:pos:R:3 pbc="T T T"
Ir -4.5752 -3.3088 5.5501
Ir -1.8061 -2.8219 3.0230
Ir 0.0000 0.0000 0.0000
Cu -2.7599 -0.4308 2.4889
Cu -3.6214 -5.6998 6.0842
```

---

# 4
CaAl2Pt2 | PBEsol | relaxed

Results
* space group: I4/mmm
* DFT formation energy: -995 meV per atom

The structure in extended XYZ format:
```
5
Lattice="4.0517 0.0000 0.0000 0.0000 4.0517 0.0000 -2.0259 -2.0259 5.6316" Properties=species:S:1:pos:R:3 pbc="T T T"
Ca 0.0000 0.0000 0.0000
Al 0.0000 2.0259 2.8158
Al 2.0259 0.0000 2.8158
Pt 2.0259 2.0259 1.3430
Pt 0.0000 0.0000 4.2886
```

---

# 5
Tc2SbTe | PBEsol | relaxed

Results
* uncorrected formation energy: 0.887 eV per atom
* polymorph energy (0 for the lowest one): 0.690 eV per atom
* space group: F-43m

The structure in extended XYZ format:
```
4
Lattice="4.6908 0.0000 0.0000 2.3454 4.0624 0.0000 2.3454 1.3541 3.8300" Properties=species:S:1:pos:R:3 pbc="T T T"
Sb 4.6908 2.7082 1.9150
Tc 7.0362 4.0624 2.8725
Tc 0.0000 0.0000 0.0000
Te 2.3454 1.3541 0.9575
```

---

# 6
CaZrZn2 | PBEsol | relaxed

Results
* space group: P4/mmm
* DFT formation energy: -206 meV per atom

The structure in extended XYZ format:
```
4
Lattice="-2.7562 1.8704 0.6795 -1.8898 -2.8238 0.1074 1.2823 -0.5977 6.8459" Properties=species:S:1:pos:R:3 pbc="T T T"
Zn 0.9178 -0.4278 4.8999
Zn 0.3645 -0.1699 1.9460
Zr -1.6819 -0.7756 3.8165
Ca -2.3230 -0.4767 0.3935
```

---

# 7
KBaCa2 | PBEsol | relaxed

Results
* polymorph energy (0 for the lowest one): 0.000 eV per atom
* space group: R3m
* DFT formation energy: 88 meV per atom

The structure in extended XYZ format:
```
4
Lattice="-3.6445 1.8323 0.1053 -2.8297 -0.9243 -2.7909 -6.9651 -9.7294 7.3014" Properties=species:S:1:pos:R:3 pbc="T T T"
Ca -6.5222 0.8079 -2.6038
Ca -3.2640 -2.0052 0.9905
K -6.6746 -4.3167 2.2311
Ba -10.1724 -6.8100 3.6203
```

---

# 8
CrH | PBEsol | relaxed

Results
* space group: Fm-3m
* calculated total energy: -13.64 eV/cell

The structure in extended XYZ format:
```
2
Lattice="2.6372 0.0000 0.0000 1.3186 2.2839 0.0000 1.3186 0.7613 2.1533" Properties=species:S:1:pos:R:3 pbc="T T T"
H 2.6372 1.5226 1.0766
Cr 0.0000 0.0000 0.0000
```

---

# 9
Ba3WCl2O5 | PBEsol | relaxed

Results
* uncorrected formation energy: -2.665 eV per atom
* space group: Cmcm

The structure in extended XYZ format:
```
22
Lattice="-2.8294 1.8496 4.7037 -4.3801 -0.5136 -5.9993 -2.5090 -10.8611 2.7616" Properties=species:S:1:pos:R:3 pbc="T T T"
O -6.0582 -8.7362 1.3940
O -6.4799 -1.4756 0.2489
O -3.2386 -8.0496 1.2171
O -4.2150 -7.0936 -1.3491
O -5.4867 -6.2623 0.7650
O -4.9320 0.0423 2.1861
O -3.6603 -0.7890 0.0720
O -4.7865 -9.5674 -0.7200
O -4.2318 -3.2628 0.7010
O -5.5035 -2.4315 2.8151
Cl -1.2545 -5.4306 1.3808
Cl -2.1197 -1.7850 2.9934
Cl -7.5989 -7.7402 -1.5273
Cl 0.0000 0.0000 0.0000
W -4.9924 -1.5811 1.1852
W -4.7261 -7.9440 0.2808
Ba -4.5377 -4.8607 2.7483
Ba -5.1808 -4.6645 -1.2823
Ba -8.0348 -6.8848 1.4406
Ba -1.6837 -2.6403 0.0255
Ba -4.1480 -0.1932 -2.4192
Ba -5.5706 -9.3320 3.8852
```

---

# 10
TaReW2 | PBEsol | relaxed

Results
* polymorph energy (0 for the lowest one): 0.002 eV per atom
* space group: F-43m
* DFT formation energy: -142 meV per atom

The structure in extended XYZ format:
```
4
Lattice="4.4684 0.0000 0.0000 2.2342 3.8698 0.0000 2.2342 1.2899 3.6485" Properties=species:S:1:pos:R:3 pbc="T T T"
Ta 2.2342 1.2899 0.9121
W 6.7027 3.8698 2.7363
W 0.0000 0.0000 0.0000
Re 4.4684 2.5799 1.8242
```

---

# 11
ZnSi2Br | PBEsol | relaxed

Results
* uncorrected formation energy: 0.671 eV per atom
* polymorph energy (0 for the lowest one): 0.627 eV per atom
* space group: Fm-3m

The structure in extended XYZ format:
```
4
Lattice="-0.2473 -4.6406 0.1286 3.8804 -2.5436 -0.2924 1.5525 -2.3082 3.7249" Properties=species:S:1:pos:R:3 pbc="T T T"
Si 1.2964 -2.3731 0.8903
Si 3.8892 -7.1193 2.6708
Br 0.0000 0.0000 0.0000
Zn 2.5928 -4.7462 1.7805
```

---

# 12
Cr2CuMo | PBEsol | relaxed

Results
* polymorph energy (0 for the lowest one): 0.072 eV per atom
* space group: Pmm2
* DFT formation energy: 346 meV per atom

The structure in extended XYZ format:
```
4
Lattice="2.4310 0.0000 0.0000 0.0000 3.9755 0.0000 0.0000 0.0000 5.1406" Properties=species:S:1:pos:R:3 pbc="T T T"
Cr 0.0000 0.0000 0.0611
Cr 1.2155 1.9878 1.2663
Mo 1.2155 1.9878 3.8561
Cu 0.0000 0.0000 2.5273
```

---

# 13
ZnH3F | PBEsol | relaxed

Results
* polymorph energy (0 for the lowest one): 0.848 eV per atom
* space group: Pm-3m

The structure in extended XYZ format:
```
5
Lattice="3.3465 0.0000 0.0000 0.0000 3.3465 0.0000 0.0000 0.0000 3.3465" Properties=species:S:1:pos:R:3 pbc="T T T"
H 0.0000 1.6733 0.0000
H 1.6733 0.0000 0.0000
H 0.0000 0.0000 1.6733
F 1.6733 1.6733 1.6733
Zn 0.0000 0.0000 0.0000
```

---

# 14
Ti3PtN | PBEsol | relaxed

Results
* uncorrected formation energy: -1.312 eV per atom
* space group: Pnma

The structure in extended XYZ format:
```
20
Lattice="5.7441 0.0000 0.0000 0.0000 5.7695 0.0000 0.0000 0.0000 8.0785" Properties=species:S:1:pos:R:3 pbc="T T T"
N 2.8720 0.0000 0.0000
N 0.0000 2.8847 0.0000
N 0.0000 2.8847 4.0392
N 2.8720 0.0000 4.0392
Pt 2.8992 2.8710 2.0196
Pt 0.0272 0.0138 2.0196
Pt 2.8449 2.8985 6.0589
Pt 5.7169 5.7557 6.0589
Ti 2.8861 0.3399 6.0589
Ti 0.0140 2.5448 6.0589
Ti 1.4784 1.4857 0.2600
Ti 2.8580 5.4295 2.0196
Ti 4.3505 1.3991 3.7793
Ti 4.2656 4.2838 7.8185
Ti 1.3936 4.3704 7.8185
Ti 5.7301 3.2247 2.0196
Ti 1.4784 1.4857 3.7793
Ti 1.3936 4.3704 4.2992
Ti 4.2656 4.2838 4.2992
Ti 4.3505 1.3991 0.2600
```

---

# 15
Li2CdI | PBEsol | relaxed

Results
* uncorrected formation energy: -0.308 eV per atom
* space group: Fm-3m

The structure in extended XYZ format:
```
4
Lattice="-3.4472 3.5388 1.5177 -2.1467 -0.3285 4.6898 1.2539 3.4250 3.6616" Properties=species:S:1:pos:R:3 pbc="T T T"
I -2.1700 3.3177 4.9345
Cd 0.0000 0.0000 0.0000
Li -3.2550 4.9765 7.4018
Li -1.0850 1.6588 2.4673
```

---

# 16
ErCuW2O8 | PBEsol | relaxed

Results
* uncorrected formation energy: -2.261 eV per atom
* polymorph energy (0 for the lowest one): 0.000 eV per atom
* space group: P2/c

The structure in extended XYZ format:
```
24
Lattice="4.9709 0.0000 -0.0128 0.0000 5.8270 0.0000 -0.5050 0.0000 9.8429" Properties=species:S:1:pos:R:3 pbc="T T T"
Er 3.3494 1.8632 7.3726
Er 1.1165 3.9638 2.4575
O 2.8121 3.6530 3.8215
O 1.6537 2.1740 6.0086
O -0.2188 5.3235 8.7189
O 4.3646 0.6694 5.8441
O 2.3341 0.6694 8.9011
O 0.1012 5.1576 3.9860
O 4.2043 3.7016 6.2854
O 1.9714 2.1254 1.3703
O 2.4945 3.7016 8.4598
O 4.3917 3.6530 1.0808
O 1.9467 5.3235 6.0390
O 0.2616 2.1254 3.5448
O 2.5192 0.5034 3.7911
O 2.1317 5.1576 0.9291
O 4.6846 0.5034 1.1112
O 0.0742 2.1740 8.7494
W 3.2361 4.8080 9.6955
W 3.4627 4.8080 5.0497
W 1.2298 1.0190 0.1346
W 1.0032 1.0190 4.7804
Cu 0.8639 4.1238 7.3790
Cu 3.6019 1.7031 2.4512
```

---

# 17
CeNiO3 | PBEsol | relaxed

Results
* uncorrected formation energy: -2.315 eV per atom
* space group: Pnma

The structure in extended XYZ format:
```
20
Lattice="-2.3201 1.4155 4.3201 -2.5296 -6.0582 0.6265 5.4776 -1.9180 3.5701" Properties=species:S:1:pos:R:3 pbc="T T T"
O 0.2563 -2.0856 5.6644
O 2.4258 -2.8453 7.0784
O 2.1137 -3.6389 4.5554
O 1.3893 -1.2953 2.9990
O -0.7615 -5.2655 5.5176
O -1.7979 -3.7155 1.4382
O -0.7756 0.4456 4.6805
O 1.4034 -7.0063 3.8362
O 1.4080 -6.0251 6.9316
O -0.7802 -0.5356 1.5850
O -1.4859 -2.9218 3.9612
O 0.3716 -4.4751 2.8522
Ni 0.3139 -3.2804 4.2583
Ni 0.0000 0.0000 0.0000
Ni 2.7388 -0.9590 1.7850
Ni -2.4248 -2.3214 2.4733
Ce 2.5624 -1.4094 5.0648
Ce 0.3272 -2.7305 1.2823
Ce -1.9346 -5.1514 3.4519
Ce 0.3007 -3.8303 7.2344
```

---

# 18
Zr2In3 | PBEsol | relaxed

Results
* space group: P-3m1
* DFT formation energy: -72 meV per atom

The structure in extended XYZ format:
```
5
Lattice="4.8345 0.0000 0.0000 -2.4172 4.1868 0.0000 0.0000 0.0000 6.0344" Properties=species:S:1:pos:R:3 pbc="T T T"
In 2.4172 1.3956 3.8110
In 0.0000 0.0000 0.0000
In 0.0000 2.7912 2.2234
Zr 0.0000 2.7912 5.1709
Zr 2.4172 1.3956 0.8636
```

---

# 19
BeTlPN2 | PBEsol | relaxed

Results
* uncorrected formation energy: 1.348 eV per atom
* space group: P4/mmm

The structure in extended XYZ format:
```
5
Lattice="3.5716 0.0000 0.0000 0.0000 3.5716 0.0000 0.0000 0.0000 5.2911" Properties=species:S:1:pos:R:3 pbc="T T T"
N 0.0000 1.7858 0.0000
N 1.7858 0.0000 0.0000
Tl 0.0000 0.0000 2.6456
Be 0.0000 0.0000 0.0000
P 1.7858 1.7858 2.6456
```

---

# 20
PdAuN3 | PBEsol | relaxed

Results
* uncorrected formation energy: 2.465 eV per atom
* space group: Pm-3m

The structure in extended XYZ format:
```
5
Lattice="3.9919 0.0000 0.0000 0.0000 3.9919 0.0000 0.0000 0.0000 3.9919" Properties=species:S:1:pos:R:3 pbc="T T T"
N 1.9959 0.0000 0.0000
N 0.0000 0.0000 1.9959
N 0.0000 1.9959 0.0000
Pd 1.9959 1.9959 1.9959
Au 0.0000 0.0000 0.0000
```

---

Number 1: M_tot 0.001 μB/f.u.. Number 2: M_tot 0.000 μB/f.u.. Number 3: M_tot 0.001 μB/f.u.. Number 4: M_tot 0.000 μB/f.u.. Number 5: M_tot 0.012 μB/f.u.. Number 6: M_tot 0.000 μB/f.u.. Number 7: M_tot 0.001 μB/f.u.. Number 8: M_tot 0.000 μB/f.u.. Number 9: M_tot 0.000 μB/f.u.. Number 10: M_tot 0.000 μB/f.u.. Number 11: M_tot 0.000 μB/f.u.. Number 12: M_tot 0.000 μB/f.u.. Number 13: M_tot 0.002 μB/f.u.. Number 14: M_tot 0.000 μB/f.u.. Number 15: M_tot 0.000 μB/f.u.. Number 16: M_tot 0.000 μB/f.u.. Number 17: M_tot 0.000 μB/f.u.. Number 18: M_tot 0.002 μB/f.u.. Number 19: M_tot 0.402 μB/f.u.. Number 20: M_tot 3.906 μB/f.u..